[1]
Compound: Li2Pt
Source: Alexandria via LeMat-Bulk
Functional: PBE-GGA
Structure: optimized geometry

For the spin magnetization, the calculation gives 0.00 μB per atom. The density comes out at 8.28 g/cm³. The energy above the most stable polymorph in this dataset is 18.3 meV per atom.

It has space group C2/m (No. 12), with a = 4.7859 Å, b = 7.8269 Å, c = 2.7075 Å, α = 90.00°, β = 124.29° and γ = 90.00°. The inequivalent atoms are Li at (0.0000, 0.1599, 0.0000) and Pt at (0.0000, 0.5000, 0.0000).



[2]
Compound: Li2Pt
Source: Alexandria via LeMat-Bulk
Functional: PBE-GGA
Structure: optimized geometry

For the spin magnetization, the calculation gives 0.00 μB per atom. The density comes out at 8.55 g/cm³. The energy above the most stable polymorph in this dataset is 90.1 meV per atom.

It has space group I4/mmm (No. 139), with a = 3.0998 Å, b = 3.0998 Å, c = 8.4487 Å, α = 90.00°, β = 90.00° and γ = 90.00°. The inequivalent atoms are Li at (0.0000, 0.0000, 0.1590) and Pt at (0.0000, 0.0000, 0.5000).



[3]
Compound: LiPt
Source: Alexandria via LeMat-Bulk
Functional: PBE-GGA
Structure: optimized geometry

For the spin magnetization, the calculation gives 0.00 μB per atom. The density comes out at 11.60 g/cm³.

It has space group P4_2/mnm (No. 136), with a = 4.8997 Å, b = 4.8997 Å, c = 4.8183 Å, α = 90.00°, β = 90.00° and γ = 90.00°. The inequivalent atoms are Li at (0.1959, 0.1959, 0.0000) and Pt at (0.1929, 0.1929, 0.5000).



[4]
Compound: LiPt
Source: Alexandria via LeMat-Bulk
Functional: PBE-GGA
Structure: optimized geometry

For the spin magnetization, the calculation gives 0.00 μB per atom. The density comes out at 11.97 g/cm³.

It has space group P-6m2 (No. 187), with a = 2.7615 Å, b = 2.7615 Å, c = 4.2438 Å, α = 90.00°, β = 90.00° and γ = 120.00°. The inequivalent atoms are Li at (0.0000, 0.0000, 0.0000) and Pt at (0.6667, 0.3333, 0.5000).



[5]
Compound: LiPt
Source: Alexandria via LeMat-Bulk
Functional: PBE-GGA
Structure: optimized geometry

For the spin magnetization, the calculation gives 0.00 μB per atom. The density comes out at 11.96 g/cm³.

It has space group P6_3/mmc (No. 194), with a = 2.7634 Å, b = 2.7634 Å, c = 8.4849 Å, α = 90.00°, β = 90.00° and γ = 120.00°. The inequivalent atoms are Li at (0.0000, 0.0000, 0.0000) and Pt at (0.3333, 0.6667, 0.2500).



[6]
Compound: Li3Pt2
Source: Alexandria via LeMat-Bulk
Functional: PBE-GGA
Structure: optimized geometry

For the spin magnetization, the calculation gives 0.00 μB per atom. The density comes out at 9.32 g/cm³. The energy above the most stable polymorph in this dataset is 0.0 meV per atom.

It has space group R-3m (No. 166, hexagonal axes), with a = 2.7733 Å, b = 2.7733 Å, c = 32.9683 Å, α = 90.00°, β = 90.00° and γ = 120.00°. The inequivalent atoms are Li at (0.0000, 0.0000, 0.0000), Li at (0.0000, 0.0000, 0.2058) and Pt at (0.0000, 0.0000, 0.3977).



[7]
Compound: LiPt2
Source: Alexandria via LeMat-Bulk
Functional: PBE-GGA
Structure: optimized geometry

For the spin magnetization, the calculation gives 0.00 μB per atom. The density comes out at 15.07 g/cm³. The energy above the most stable polymorph in this dataset is 129.6 meV per atom.

It has space group I4/mmm (No. 139), with a = 2.7195 Å, b = 2.7195 Å, c = 11.8340 Å, α = 90.00°, β = 90.00° and γ = 90.00°. The inequivalent atoms are Li at (0.0000, 0.0000, 0.0000) and Pt at (0.0000, 0.0000, 0.3382).



[8]
Compound: LiPt
Source: Alexandria via LeMat-Bulk
Functional: PBE-GGA
Structure: optimized geometry

For the spin magnetization, the calculation gives 0.00 μB per atom. The density comes out at 12.30 g/cm³.

It has space group P4/nmm (No. 129, origin choice 2), with a = 2.9018 Å, b = 2.9018 Å, c = 6.4792 Å, α = 90.00°, β = 90.00° and γ = 90.00°. The inequivalent atoms are Li at (0.2500, 0.2500, 0.1175) and Pt at (0.2500, 0.2500, 0.6506).



[9]
Compound: LiPt
Source: Alexandria via LeMat-Bulk
Functional: PBE-GGA
Structure: optimized geometry

For the spin magnetization, the calculation gives 0.00 μB per atom. The density comes out at 11.42 g/cm³.

It has space group P6_3/mmc (No. 194), with a = 4.1956 Å, b = 4.1956 Å, c = 7.7085 Å, α = 90.00°, β = 90.00° and γ = 120.00°. The inequivalent atoms are Li at (0.0000, 0.0000, 0.2500), Li at (0.3333, 0.6667, 0.2500) and Pt at (0.3333, 0.6667, 0.5812).



[10]
Compound: Li5Pt
Source: Alexandria via LeMat-Bulk
Functional: PBE-GGA
Structure: optimized geometry

For the spin magnetization, the calculation gives 0.00 μB per atom. The density comes out at 4.17 g/cm³. The energy above the most stable polymorph in this dataset is 337.4 meV per atom.

It has space group P6/mmm (No. 191), with a = 4.7849 Å, b = 4.7849 Å, c = 4.6194 Å, α = 90.00°, β = 90.00° and γ = 120.00°. The inequivalent atoms are Li at (0.0000, 0.5000, 0.0000), Li at (0.3333, 0.6667, 0.5000) and Pt at (0.0000, 0.0000, 0.5000).



[11]
Compound: LiPt7
Source: Alexandria via LeMat-Bulk
Functional: PBE-GGA
Structure: optimized geometry

For the spin magnetization, the calculation gives 0.00 μB per atom. The density comes out at 18.74 g/cm³.

It has space group Fm-3m (No. 225), with a = 7.8643 Å, b = 7.8643 Å, c = 7.8643 Å, α = 90.00°, β = 90.00° and γ = 90.00°. The inequivalent atoms are Li at (0.0000, 0.0000, 0.0000), Pt at (0.0000, 0.0000, 0.5000) and Pt at (0.0000, 0.2500, 0.2500).



[12]
Compound: LiPt5
Source: Alexandria via LeMat-Bulk
Functional: PBE-GGA
Structure: optimized geometry

For the spin magnetization, the calculation gives 0.00 μB per atom. The density comes out at 18.17 g/cm³. The energy above the most stable polymorph in this dataset is 0.0 meV per atom.

It has space group Cmmm (No. 65), with a = 3.8974 Å, b = 11.8934 Å, c = 3.8728 Å, α = 90.00°, β = 90.00° and γ = 90.00°. The inequivalent atoms are Li at (0.0000, 0.0000, 0.0000), Pt at (0.0000, 0.1668, 0.5000), Pt at (0.0000, 0.3407, 0.0000) and Pt at (0.0000, 0.5000, 0.5000).



Computed DFT formation energy (eV/atom) in order:
-0.544 -0.472 0.020 -0.606 -0.604 -0.514 -0.319 -0.349 -0.332 0.045 -0.247 -0.287